Record 1
First-principles (PBE) data for crystalline Tb4PmHg2 at its relaxed geometry, as listed in the Alexandria database.

```
Tb4PmHg2
1.0
2.534 1.463 10.309
-2.534 1.463 10.309
0.000 -2.926 10.309
Tb Pm Hg
4 1 2
direct
0.106 0.106 0.106 Tb
0.297 0.297 0.297 Tb
0.703 0.703 0.703 Tb
0.894 0.894 0.894 Tb
0.500 0.500 0.500 Pm
0.399 0.399 0.399 Hg
0.601 0.601 0.601 Hg
```

Output
Electronic total energy, eV per atom: -3.381
DFT formation energy, eV/atom: 0.029
Space group: R-3m
Relative energy among the computed polymorphs, meV per atom: 115.6
Calculated volume, Å³/cell: 229.3

Record 2
First-principles (PBE) data for crystalline SrS2O at its relaxed geometry, as listed in the Alexandria database.

```
SrS2O
1.0
-3.076 3.076 4.502
3.076 -3.076 4.502
3.076 3.076 -4.502
Sr S O
2 4 2
direct
0.000 0.000 0.000 Sr
0.750 0.250 0.500 Sr
0.335 0.625 0.210 S
0.375 0.585 0.710 S
0.415 0.125 0.790 S
0.875 0.665 0.290 S
0.250 0.750 0.500 O
0.500 0.500 0.000 O
```

Output
Electronic total energy, eV per atom: -4.247
E_form (uncorrected), meV/atom: -523
Space group: I-42d
Calculated volume, Å³/cell: 170.4

no.,DOS(E_F) (states/eV per atom)
1,1.450
2,0.000